Entry 1:
The following is a DFT calculation (PBE-GGA) of an optimized crystal structure of KLi3Ag.

Results
- Energy relative to the lowest polymorph listed for this composition: 737 meV/atom
- Total magnetic moment: 0.00 Bohr magnetons per cell

```
data_KLi3Ag
_cell_length_a 5.2914
_cell_length_b 5.2914
_cell_length_c 5.2914
_cell_angle_alpha 90.00
_cell_angle_beta 90.00
_cell_angle_gamma 90.00
_symmetry_space_group_name_H-M 'P m -3 m'
_symmetry_Int_Tables_number 221
_symmetry_space_group_name_Hall '-P 4 2 3'
loop_
_atom_site_label
_atom_site_fract_x
_atom_site_fract_y
_atom_site_fract_z
_atom_site_occupancy
K1 0.0000 0.0000 0.0000 1
Li1 0.0000 0.0000 0.5000 1
Ag1 0.5000 0.5000 0.5000 1
```

***

Entry 2:
The following is a DFT calculation (PBE-GGA) of an optimized crystal structure of KLiAg2.

Results
- Energy relative to the lowest polymorph listed for this composition: 265 meV/atom
- Total magnetic moment: 0.00 Bohr magnetons per cell

```
data_KLiAg2
_cell_length_a 5.2870
_cell_length_b 3.3280
_cell_length_c 5.3757
_cell_angle_alpha 90.00
_cell_angle_beta 104.07
_cell_angle_gamma 90.00
_symmetry_space_group_name_H-M 'P 1 2/m 1'
_symmetry_Int_Tables_number 10
_symmetry_space_group_name_Hall '-P 2y'
loop_
_atom_site_label
_atom_site_fract_x
_atom_site_fract_y
_atom_site_fract_z
_atom_site_occupancy
K1 0.0000 0.0000 0.0000 1
Li1 0.5000 0.5000 0.0000 1
Ag1 0.0000 0.5000 0.5000 1
Ag2 0.5000 0.0000 0.5000 1
```

***

Entry 3:
The following is a DFT calculation (PBE-GGA) of an optimized crystal structure of KLiAg2.

Results
- Energy relative to the lowest polymorph listed for this composition: 94 meV/atom
- Total magnetic moment: 0.00 Bohr magnetons per cell

```
data_KLiAg2
_cell_length_a 3.1435
_cell_length_b 4.7653
_cell_length_c 6.7599
_cell_angle_alpha 90.00
_cell_angle_beta 90.19
_cell_angle_gamma 90.00
_symmetry_space_group_name_H-M 'P 1 m 1'
_symmetry_Int_Tables_number 6
_symmetry_space_group_name_Hall 'P -2y'
loop_
_atom_site_label
_atom_site_fract_x
_atom_site_fract_y
_atom_site_fract_z
_atom_site_occupancy
K1 0.0000 0.0000 0.0000 1
Li1 0.9940 0.5000 0.4033 1
Ag1 0.4955 0.0000 0.4828 1
Ag2 0.4965 0.5000 0.7243 1
```